# GGA-PBE TbZn3Pt2, optimized geometry
data_TbZn3Pt2
_cell_length_a 13.915
_cell_length_b 4.153
_cell_length_c 8.414
_cell_angle_alpha 90.00
_cell_angle_beta 119.11
_cell_angle_gamma 90.00
_space_group_name_H-M_alt 'C 1 2/m 1'
_space_group_IT_number 12
loop_
_space_group_symop_operation_xyz
'x,y,z'
'-x,-y,-z'
'-x,y,-z'
'x,-y,z'
'x+1/2,y+1/2,z'
'-x+1/2,-y+1/2,-z'
'-x+1/2,y+1/2,-z'
'x+1/2,-y+1/2,z'
loop_
_atom_site_label
_atom_site_type_symbol
_atom_site_fract_x
_atom_site_fract_y
_atom_site_fract_z
_atom_site_occupancy
Tb1 Tb 0.135 0.000 0.022 1
Zn1 Zn 0.051 0.000 0.388 1
Zn2 Zn 0.096 0.500 0.717 1
Zn3 Zn 0.207 0.500 0.529 1
Pt1 Pt 0.055 0.500 0.191 1
Pt2 Pt 0.213 0.000 0.729 1
# E_tot   -98.38 eV per cell
# Energy of formation   -677 meV/atom
# N(E_F)   11.02 states/eV per cell



# GGA-PBE Tb5Zn2Pt, optimized geometry
data_Tb5Zn2Pt
_cell_length_a 7.197
_cell_length_b 7.197
_cell_length_c 15.573
_cell_angle_alpha 90.00
_cell_angle_beta 90.00
_cell_angle_gamma 90.00
_space_group_name_H-M_alt 'I 4/m c m'
_space_group_IT_number 140
_space_group_name_Hall '-I 4 2c'
loop_
_atom_site_label
_atom_site_type_symbol
_atom_site_fract_x
_atom_site_fract_y
_atom_site_fract_z
_atom_site_occupancy
Tb1 Tb 0.000 0.000 0.000 1
Tb2 Tb 0.173 0.327 0.153 1
Zn1 Zn 0.121 0.379 0.500 1
Pt1 Pt 0.000 0.000 0.250 1
# E_tot   -142.16 eV per cell
# Energy of formation   -475 meV/atom
# N(E_F)   39.38 states/eV per cell